(1)
# CoSbMo2 (GGA-PBE, relaxed)
# - E (eV/atom) = -7.94
# - Fermi-level density of states (states/eV per atom) = 0.859
data_CoSbMo2
_chemical_formula_sum 'Co1 Sb1 Mo2'
_cell_length_a 2.9225
_cell_length_b 4.2304
_cell_length_c 5.2744
_cell_angle_alpha 90.00
_cell_angle_beta 101.11
_cell_angle_gamma 90.00
_space_group_name_H-M_alt 'P 1'
_space_group_IT_number 1
_space_group_name_Hall 'P 1'
loop_
_atom_site_label
_atom_site_type_symbol
_atom_site_fract_x
_atom_site_fract_y
_atom_site_fract_z
Co1 Co 0.0000 0.0000 0.0000
Sb1 Sb 0.9505 0.5000 0.7385
Mo1 Mo 0.3668 0.0000 0.4723
Mo2 Mo 0.6007 0.5000 0.2132

(2)
# AcYHoTe3 (GGA-PBE, relaxed)
# - E (eV/atom) = -5.37
# - Fermi-level density of states (states/eV per atom) = 0.748
data_AcYHoTe3
_chemical_formula_sum 'Ac2 Y2 Ho2 Te6'
_cell_length_a 8.7191
_cell_length_b 4.4086
_cell_length_c 10.9958
_cell_angle_alpha 90.00
_cell_angle_beta 107.33
_cell_angle_gamma 90.00
_space_group_name_H-M_alt 'P 1'
_space_group_IT_number 1
_space_group_name_Hall 'P 1'
loop_
_atom_site_label
_atom_site_type_symbol
_atom_site_fract_x
_atom_site_fract_y
_atom_site_fract_z
Ac1 Ac 0.1894 0.2500 0.2232
Ac2 Ac 0.8106 0.7500 0.7768
Y1 Y 0.1505 0.2500 0.6244
Y2 Y 0.8495 0.7500 0.3756
Ho1 Ho 0.3385 0.7500 0.9037
Ho2 Ho 0.6615 0.2500 0.0963
Te1 Te 0.0993 0.2500 0.8963
Te2 Te 0.2277 0.7500 0.4613
Te3 Te 0.4851 0.7500 0.1979
Te4 Te 0.5149 0.2500 0.8021
Te5 Te 0.7723 0.2500 0.5387
Te6 Te 0.9007 0.7500 0.1037

(3)
# SrGdHo2 (GGA-PBE, relaxed)
# - formation energy (eV per atom) = 0.25
# - relative energy among the computed polymorphs (meV/atom) = 113
# - Fermi-level density of states (states/eV per atom) = 1.924
data_SrGdHo2
_chemical_formula_sum 'Sr1 Gd1 Ho2'
_cell_length_a 5.8433
_cell_length_b 5.8433
_cell_length_c 5.8433
_cell_angle_alpha 60.00
_cell_angle_beta 60.00
_cell_angle_gamma 60.00
_space_group_name_H-M_alt 'P 1'
_space_group_IT_number 1
_space_group_name_Hall 'P 1'
loop_
_atom_site_label
_atom_site_type_symbol
_atom_site_fract_x
_atom_site_fract_y
_atom_site_fract_z
Sr1 Sr 0.0000 0.0000 0.0000
Gd1 Gd 0.5000 0.5000 0.5000
Ho1 Ho 0.2500 0.2500 0.2500
Ho2 Ho 0.7500 0.7500 0.7500

(4)
# Ce3Sm3ErS8 (GGA-PBE, relaxed)
# - E (eV/atom) = -6.69
# - Fermi-level density of states (states/eV per atom) = 1.267
data_Ce3Sm3ErS8
_chemical_formula_sum 'Ce3 Sm3 Er1 S8'
_cell_length_a 8.0370
_cell_length_b 8.0370
_cell_length_c 8.0370
_cell_angle_alpha 59.66
_cell_angle_beta 59.66
_cell_angle_gamma 59.66
_space_group_name_H-M_alt 'P 1'
_space_group_IT_number 1
_space_group_name_Hall 'P 1'
loop_
_atom_site_label
_atom_site_type_symbol
_atom_site_fract_x
_atom_site_fract_y
_atom_site_fract_z
Ce1 Ce 0.0000 0.5000 0.5000
Ce2 Ce 0.5000 0.0000 0.5000
Ce3 Ce 0.5000 0.5000 0.0000
Sm1 Sm 0.0000 0.0000 0.5000
Sm2 Sm 0.0000 0.5000 0.0000
Sm3 Sm 0.5000 0.0000 0.0000
Er1 Er 0.5000 0.5000 0.5000
S1 S 0.2492 0.2492 0.2492
S2 S 0.2553 0.7431 0.7431
S3 S 0.2569 0.2569 0.7447
S4 S 0.2569 0.7447 0.2569
S5 S 0.7431 0.2553 0.7431
S6 S 0.7431 0.7431 0.2553
S7 S 0.7447 0.2569 0.2569
S8 S 0.7508 0.7508 0.7508

(5)
# Mg2InO2 (GGA-PBE, relaxed)
# - relative energy among the computed polymorphs (meV/atom) = 623
# - Fermi-level density of states (states/eV per atom) = 0.266
data_Mg2InO2
_chemical_formula_sum 'Mg4 In2 O4'
_cell_length_a 6.7544
_cell_length_b 6.7544
_cell_length_c 2.9471
_cell_angle_alpha 90.00
_cell_angle_beta 90.00
_cell_angle_gamma 90.00
_space_group_name_H-M_alt 'P 1'
_space_group_IT_number 1
_space_group_name_Hall 'P 1'
loop_
_atom_site_label
_atom_site_type_symbol
_atom_site_fract_x
_atom_site_fract_y
_atom_site_fract_z
Mg1 Mg 0.1352 0.3648 0.0000
Mg2 Mg 0.3648 0.8648 0.0000
Mg3 Mg 0.6352 0.1352 0.0000
Mg4 Mg 0.8648 0.6352 0.0000
In1 In 0.0000 0.0000 0.5000
In2 In 0.5000 0.5000 0.5000
O1 O 0.1351 0.6351 0.5000
O2 O 0.3649 0.1351 0.5000
O3 O 0.6351 0.8649 0.5000
O4 O 0.8649 0.3649 0.5000

(6)
# Tb4GaAsSe2 (GGA-PBE, relaxed)
# - E (eV/atom) = -5.59
# - Fermi-level density of states (states/eV per atom) = 0.297
data_Tb4GaAsSe2
_chemical_formula_sum 'Tb4 Ga1 As1 Se2'
_cell_length_a 7.2111
_cell_length_b 4.0673
_cell_length_c 7.2272
_cell_angle_alpha 90.00
_cell_angle_beta 108.78
_cell_angle_gamma 90.00
_space_group_name_H-M_alt 'P 1'
_space_group_IT_number 1
_space_group_name_Hall 'P 1'
loop_
_atom_site_label
_atom_site_type_symbol
_atom_site_fract_x
_atom_site_fract_y
_atom_site_fract_z
Tb1 Tb 0.2478 0.0000 0.2386
Tb2 Tb 0.2507 0.5000 0.7551
Tb3 Tb 0.7493 0.5000 0.2449
Tb4 Tb 0.7522 0.0000 0.7614
Ga1 Ga 0.5000 0.0000 0.0000
As1 As 0.0000 0.5000 0.0000
Se1 Se 0.0000 0.0000 0.5000
Se2 Se 0.5000 0.5000 0.5000